# 1
DFT (PBE) results for crystalline SmEr5P6 at its relaxed geometry.

Lattice parameters (Å, degrees): 6.9150 6.9178 6.9159 59.99 80.39 70.51
Positions (direct):
Er (0.0000, 0.3330, 0.3339)
Er (0.5000, 0.8343, 0.3314)
Er (0.5000, 0.1657, 0.6686)
Er (0.5000, 0.5000, 0.0000)
Er (0.0000, 0.6670, 0.6661)
P (0.7475, 0.7461, 0.0000)
P (0.2531, 0.5778, 0.3379)
P (0.2525, 0.2539, 0.0000)
P (0.7469, 0.4222, 0.6621)
P (0.2531, 0.9156, 0.6621)
P (0.7469, 0.0844, 0.3379)
Sm (0.0000, 0.0000, 0.0000)

Values from the calculation:
The calculation puts the formation energy at -19.2 eV/f.u.

# 2
DFT (PBE) results for crystalline PmHo2ZrAs4 at its relaxed geometry.

Lattice parameters (Å, degrees): 4.0668 7.0504 7.0373 109.28 90.00 90.00
Positions (direct):
Ho (0.5000, 0.0000, 0.5000)
Ho (0.0000, 0.5000, 0.5000)
Zr (0.0000, 0.0000, 0.0000)
As (0.5000, 0.7621, 0.7562)
As (0.0000, 0.7610, 0.2509)
As (0.0000, 0.2390, 0.7491)
As (0.5000, 0.2379, 0.2438)
Pm (0.5000, 0.5000, 0.0000)

Values from the calculation:
The calculation puts the formation energy at -11.3 eV/f.u.

# 3
DFT (PBE) results for crystalline MgSc2HPd at its relaxed geometry.

Lattice parameters (Å, degrees): 4.7162 4.7162 3.6935 90.00 90.00 90.00
Positions (direct):
Sc (0.5000, 0.0000, 0.0000)
Sc (0.0000, 0.5000, 0.0000)
Mg (0.5000, 0.5000, 0.5000)
H (0.0000, 0.0000, 0.0000)
Pd (0.0000, 0.0000, 0.5000)

Values from the calculation:
Its relative energy among the computed polymorphs is 0.04 eV/f.u.

no.,calculated total energy (eV per atom)
1,-6.60
2,-6.54
3,-4.97